Density functional theory data (GGA+U) for an optimized crystal structure of CrBiIO2.

```
5
Lattice="4.247 0.000 0.000 0.000 4.247 0.000 0.000 0.000 5.199" Properties=species:S:1:pos:R:3 pbc="T T T"
Cr 0.000 0.000 0.000
Bi 2.124 2.124 2.599
I 0.000 0.000 2.599
O 0.000 2.124 0.000
O 2.124 0.000 0.000
```

## Properties
Magnetization ... 3.29 μB per cell
SG ... P4/mmm (123)
Calculated total energy ... -4.777 eV/atom